Record 1
{
  "formula": "BaAcAg",
  "functional": "GGA-PBE",
  "state": "relaxed",
  "dos_at_fermi_per_ev_fu": 2.61,
  "e_form_ev_per_atom": 0.039,
  "e_above_lowest_polymorph_kj_per_mol_atoms": 15.8,
  "final_energy_ha_per_atom": -0.107,
  "magnetic_moment_mub_per_atom": 0.00,
  "cell": [[5.452, 0.000, 0.000], [-2.726, 4.722, 0.000], [0.000, 0.000, 4.630]],
  "species": ["Ba", "Ac", "Ag"],
  "frac_coords": [[0.000, 0.000, 0.000], [0.333, 0.667, 0.473], [0.667, 0.333, 0.645]]
}

---

Record 2
{
  "formula": "Sr2CaTi",
  "functional": "GGA-PBE",
  "state": "relaxed",
  "dos_at_fermi_per_ev_fu": 6.83,
  "e_form_ev_per_atom": 0.722,
  "e_above_lowest_polymorph_kj_per_mol_atoms": 17.5,
  "final_energy_ha_per_atom": -0.095,
  "magnetic_moment_mub_per_atom": 0.90,
  "cell": [[9.578, 0.000, 0.000], [0.000, 9.578, 0.000], [0.000, 0.000, 7.235]],
  "species": ["Sr", "Sr", "Sr", "Sr", "Sr", "Sr", "Sr", "Sr", "Ca", "Ca", "Ca", "Ca", "Ti", "Ti", "Ti", "Ti"],
  "frac_coords": [[0.222, 0.250, 0.125], [0.250, 0.722, 0.375], [0.250, 0.778, 0.875], [0.278, 0.250, 0.625], [0.722, 0.750, 0.625], [0.750, 0.222, 0.875], [0.750, 0.278, 0.375], [0.778, 0.750, 0.125], [0.000, 0.000, 0.500], [0.000, 0.500, 0.750], [0.500, 0.000, 0.250], [0.500, 0.500, 0.000], [0.000, 0.000, 0.000], [0.000, 0.500, 0.250], [0.500, 0.000, 0.750], [0.500, 0.500, 0.500]]
}

---

Record 3
{
  "formula": "ZrScIr",
  "functional": "GGA-PBE",
  "state": "relaxed",
  "dos_at_fermi_per_ev_fu": 3.20,
  "e_form_ev_per_atom": -0.625,
  "e_above_lowest_polymorph_kj_per_mol_atoms": 2.7,
  "final_energy_ha_per_atom": -0.314,
  "magnetic_moment_mub_per_atom": 0.00,
  "cell": [[2.282, 1.317, 7.376], [-2.282, 1.317, 7.376], [0.000, -2.635, 7.376]],
  "species": ["Zr", "Zr", "Sc", "Sc", "Ir", "Ir"],
  "frac_coords": [[0.123, 0.123, 0.123], [0.877, 0.877, 0.877], [0.373, 0.373, 0.373], [0.627, 0.627, 0.627], [0.247, 0.247, 0.247], [0.753, 0.753, 0.753]]
}

---

Record 4
{
  "formula": "MgBiSe2Br",
  "functional": "GGA-PBE",
  "state": "relaxed",
  "dos_at_fermi_per_ev_fu": 2.15,
  "raw_formation_energy_kj_per_mol_atoms": -27.51,
  "final_energy_ha_per_atom": -0.114,
  "magnetic_moment_mub_per_atom": 0.00,
  "cell": [[5.184, 0.000, 0.000], [0.000, 5.184, 0.000], [0.000, 0.000, 4.919]],
  "species": ["Mg", "Bi", "Se", "Se", "Br"],
  "frac_coords": [[0.000, 0.000, 0.000], [0.500, 0.500, 0.500], [0.000, 0.500, 0.000], [0.500, 0.000, 0.000], [0.000, 0.000, 0.500]]
}

---

Record 5
{
  "formula": "Th5Zn2Co2",
  "functional": "GGA-PBE",
  "state": "relaxed",
  "dos_at_fermi_per_ev_fu": 9.46,
  "e_form_ev_per_atom": -0.182,
  "final_energy_ha_per_atom": -0.227,
  "magnetic_moment_mub_per_atom": 0.00,
  "cell": [[-9.936, 3.105, 3.476], [9.936, -3.105, 3.476], [9.936, 3.105, -3.476]],
  "species": ["Th", "Th", "Th", "Th", "Th", "Th", "Th", "Th", "Th", "Th", "Zn", "Zn", "Zn", "Zn", "Co", "Co", "Co", "Co"],
  "frac_coords": [[0.105, 0.018, 0.587], [0.154, 0.082, 0.236], [0.154, 0.418, 0.572], [0.431, 0.518, 0.413], [0.496, 0.804, 0.015], [0.496, 0.981, 0.192], [0.789, 0.304, 0.808], [0.789, 0.481, 0.985], [0.846, 0.582, 0.428], [0.846, 0.918, 0.764], [0.204, 0.396, 0.896], [0.204, 0.808, 0.308], [0.500, 0.308, 0.104], [0.500, 0.896, 0.692], [0.028, 0.696, 0.832], [0.695, 0.195, 0.500], [0.695, 0.695, 0.000], [0.864, 0.196, 0.168]]
}

---

Record 6
{
  "formula": "Zr2GeSe",
  "functional": "GGA-PBE",
  "state": "relaxed",
  "dos_at_fermi_per_ev_fu": 0.90,
  "raw_formation_energy_kj_per_mol_atoms": -96.59,
  "e_above_lowest_polymorph_kj_per_mol_atoms": 0.0,
  "final_energy_ha_per_atom": -0.268,
  "magnetic_moment_mub_per_atom": 0.00,
  "cell": [[3.783, 0.000, 0.000], [-1.891, 3.276, 0.000], [0.000, 0.000, 20.236]],
  "species": ["Zr", "Zr", "Zr", "Zr", "Zr", "Zr", "Ge", "Ge", "Ge", "Se", "Se", "Se"],
  "frac_coords": [[0.000, 0.000, 0.000], [0.000, 0.000, 0.181], [0.333, 0.667, 0.667], [0.333, 0.667, 0.848], [0.667, 0.333, 0.333], [0.667, 0.333, 0.515], [0.000, 0.000, 0.592], [0.333, 0.667, 0.258], [0.667, 0.333, 0.925], [0.000, 0.000, 0.423], [0.333, 0.667, 0.090], [0.667, 0.333, 0.756]]
}

---

Record 7
{
  "formula": "AgBSbTe2",
  "functional": "GGA-PBE",
  "state": "relaxed",
  "dos_at_fermi_per_ev_fu": 3.57,
  "raw_formation_energy_kj_per_mol_atoms": 72.96,
  "e_above_lowest_polymorph_kj_per_mol_atoms": 0.0,
  "final_energy_ha_per_atom": -0.119,
  "magnetic_moment_mub_per_atom": 0.00,
  "cell": [[4.931, 0.000, 0.000], [0.000, 4.931, 0.000], [0.000, 0.000, 4.815]],
  "species": ["Ag", "B", "Sb", "Te", "Te"],
  "frac_coords": [[0.000, 0.000, 0.000], [0.500, 0.500, 0.500], [0.500, 0.500, 0.000], [0.000, 0.500, 0.500], [0.500, 0.000, 0.500]]
}

---

Record 8
{
  "formula": "Tb2Mn16Re",
  "functional": "GGA-PBE",
  "state": "relaxed",
  "dos_at_fermi_per_ev_fu": 19.78,
  "e_form_ev_per_atom": 0.004,
  "final_energy_ha_per_atom": -0.326,
  "magnetic_moment_mub_per_atom": 0.28,
  "cell": [[4.341, 2.506, 3.920], [-4.341, 2.506, 3.920], [0.000, -5.013, 3.920]],
  "species": ["Tb", "Tb", "Mn", "Mn", "Mn", "Mn", "Mn", "Mn", "Mn", "Mn", "Mn", "Mn", "Mn", "Mn", "Mn", "Mn", "Mn", "Mn", "Re"],
  "frac_coords": [[0.000, 0.000, 0.000], [0.289, 0.289, 0.289], [0.002, 0.002, 0.518], [0.002, 0.518, 0.002], [0.142, 0.644, 0.644], [0.288, 0.288, 0.767], [0.288, 0.767, 0.288], [0.365, 0.641, 0.919], [0.365, 0.919, 0.641], [0.518, 0.002, 0.002], [0.540, 0.540, 0.540], [0.641, 0.365, 0.919], [0.641, 0.919, 0.365], [0.644, 0.142, 0.644], [0.644, 0.644, 0.142], [0.767, 0.288, 0.288], [0.919, 0.365, 0.641], [0.919, 0.641, 0.365], [0.743, 0.743, 0.743]]
}

---

Record 9
{
  "formula": "NaSnPb2N",
  "functional": "GGA-PBE",
  "state": "relaxed",
  "dos_at_fermi_per_ev_fu": 3.89,
  "raw_formation_energy_kj_per_mol_atoms": 160.57,
  "final_energy_ha_per_atom": -0.094,
  "magnetic_moment_mub_per_atom": 0.02,
  "cell": [[5.444, 0.000, 0.000], [0.000, 5.444, 0.000], [0.000, 0.000, 5.345]],
  "species": ["Na", "Sn", "Pb", "Pb", "N"],
  "frac_coords": [[0.000, 0.000, 0.000], [0.000, 0.000, 0.500], [0.000, 0.500, 0.000], [0.500, 0.000, 0.000], [0.500, 0.500, 0.500]]
}

---

Record 10
{
  "formula": "Cs2AcInTe4",
  "functional": "GGA-PBE",
  "state": "relaxed",
  "dos_at_fermi_per_ev_fu": 0.00,
  "raw_formation_energy_kj_per_mol_atoms": -98.20,
  "final_energy_ha_per_atom": -0.134,
  "magnetic_moment_mub_per_atom": 0.00,
  "cell": [[9.325, 0.000, 0.000], [0.000, 9.325, 0.000], [0.000, 0.000, 8.038]],
  "species": ["Cs", "Cs", "Cs", "Cs", "Ac", "Ac", "In", "In", "Te", "Te", "Te", "Te", "Te", "Te", "Te", "Te"],
  "frac_coords": [[0.000, 0.500, 0.000], [0.000, 0.500, 0.500], [0.500, 0.000, 0.000], [0.500, 0.000, 0.500], [0.000, 0.000, 0.000], [0.500, 0.500, 0.500], [0.000, 0.000, 0.500], [0.500, 0.500, 0.000], [0.174, 0.174, 0.283], [0.174, 0.826, 0.717], [0.326, 0.326, 0.783], [0.326, 0.674, 0.217], [0.674, 0.326, 0.217], [0.674, 0.674, 0.783], [0.826, 0.174, 0.717], [0.826, 0.826, 0.283]]
}

---

Record 11
{
  "formula": "ZrNiBr3",
  "functional": "GGA-PBE",
  "state": "relaxed",
  "dos_at_fermi_per_ev_fu": 17.26,
  "raw_formation_energy_kj_per_mol_atoms": 2.27,
  "e_above_lowest_polymorph_kj_per_mol_atoms": 0.0,
  "final_energy_ha_per_atom": -0.141,
  "magnetic_moment_mub_per_atom": 0.01,
  "cell": [[5.313, 0.000, 0.000], [0.000, 5.313, 0.000], [0.000, 0.000, 5.313]],
  "species": ["Zr", "Ni", "Br", "Br", "Br"],
  "frac_coords": [[0.000, 0.000, 0.000], [0.500, 0.500, 0.500], [0.000, 0.000, 0.500], [0.000, 0.500, 0.000], [0.500, 0.000, 0.000]]
}

---

Record 12
{
  "formula": "Er3PaPt4",
  "functional": "GGA-PBE",
  "state": "relaxed",
  "dos_at_fermi_per_ev_fu": 7.71,
  "e_form_ev_per_atom": -1.134,
  "final_energy_ha_per_atom": -0.259,
  "magnetic_moment_mub_per_atom": 0.01,
  "cell": [[4.792, 0.000, 0.000], [0.000, 6.960, 0.000], [0.000, 0.000, 10.050]],
  "species": ["Er", "Er", "Er", "Er", "Er", "Er", "Pa", "Pa", "Pt", "Pt", "Pt", "Pt", "Pt", "Pt", "Pt", "Pt"],
  "frac_coords": [[0.250, 0.000, 0.116], [0.250, 0.000, 0.620], [0.250, 0.500, 0.116], [0.750, 0.000, 0.380], [0.750, 0.000, 0.884], [0.750, 0.500, 0.884], [0.250, 0.500, 0.605], [0.750, 0.500, 0.395], [0.250, 0.251, 0.352], [0.250, 0.256, 0.855], [0.250, 0.744, 0.855], [0.250, 0.749, 0.352], [0.750, 0.251, 0.648], [0.750, 0.256, 0.145], [0.750, 0.744, 0.145], [0.750, 0.749, 0.648]]
}

---

Record 13
{
  "formula": "CeCoHg",
  "functional": "GGA-PBE",
  "state": "relaxed",
  "dos_at_fermi_per_ev_fu": 2.58,
  "e_form_ev_per_atom": -0.306,
  "final_energy_ha_per_atom": -0.175,
  "magnetic_moment_mub_per_atom": 0.00,
  "cell": [[3.641, 0.000, 0.000], [0.000, 17.730, 0.000], [0.000, 0.000, 3.804]],
  "species": ["Ce", "Ce", "Ce", "Ce", "Co", "Co", "Co", "Co", "Hg", "Hg", "Hg", "Hg"],
  "frac_coords": [[0.000, 0.087, 0.250], [0.000, 0.913, 0.750], [0.500, 0.413, 0.750], [0.500, 0.587, 0.250], [0.000, 0.445, 0.250], [0.000, 0.555, 0.750], [0.500, 0.055, 0.750], [0.500, 0.945, 0.250], [0.000, 0.294, 0.250], [0.000, 0.706, 0.750], [0.500, 0.206, 0.750], [0.500, 0.794, 0.250]]
}

---

Record 14
{
  "formula": "IrC2S",
  "functional": "GGA-PBE",
  "state": "relaxed",
  "dos_at_fermi_per_ev_fu": 1.46,
  "raw_formation_energy_kj_per_mol_atoms": 110.65,
  "final_energy_ha_per_atom": -0.247,
  "magnetic_moment_mub_per_atom": 0.00,
  "cell": [[4.550, 0.000, 0.000], [0.000, 4.550, 0.000], [0.000, 0.000, 8.535]],
  "species": ["Ir", "Ir", "Ir", "Ir", "C", "C", "C", "C", "C", "C", "C", "C", "S", "S", "S", "S"],
  "frac_coords": [[0.000, 0.000, 0.000], [0.000, 0.500, 0.250], [0.500, 0.000, 0.750], [0.500, 0.500, 0.500], [0.211, 0.250, 0.625], [0.250, 0.711, 0.875], [0.250, 0.789, 0.375], [0.289, 0.250, 0.125], [0.711, 0.750, 0.125], [0.750, 0.211, 0.375], [0.750, 0.289, 0.875], [0.789, 0.750, 0.625], [0.000, 0.000, 0.500], [0.000, 0.500, 0.750], [0.500, 0.000, 0.250], [0.500, 0.500, 0.000]]
}

---

Record 15
{
  "formula": "Ac3ZnP2Pt6",
  "functional": "GGA-PBE",
  "state": "relaxed",
  "dos_at_fermi_per_ev_fu": 7.15,
  "e_form_ev_per_atom": -0.940,
  "final_energy_ha_per_atom": -0.220,
  "magnetic_moment_mub_per_atom": 0.00,
  "cell": [[5.732, 0.000, 0.000], [-2.866, 4.964, 0.000], [0.000, 0.000, 9.906]],
  "species": ["Ac", "Ac", "Ac", "Zn", "P", "P", "Pt", "Pt", "Pt", "Pt", "Pt", "Pt"],
  "frac_coords": [[0.000, 0.000, 0.000], [0.333, 0.667, 0.596], [0.667, 0.333, 0.404], [0.000, 0.000, 0.500], [0.333, 0.667, 0.118], [0.667, 0.333, 0.882], [0.163, 0.326, 0.284], [0.163, 0.837, 0.284], [0.326, 0.163, 0.716], [0.674, 0.837, 0.284], [0.837, 0.163, 0.716], [0.837, 0.674, 0.716]]
}

---

Record 16
{
  "formula": "CaAgGePb",
  "functional": "GGA-PBE",
  "state": "relaxed",
  "dos_at_fermi_per_ev_fu": 2.81,
  "e_form_ev_per_atom": -0.152,
  "final_energy_ha_per_atom": -0.127,
  "magnetic_moment_mub_per_atom": 0.00,
  "cell": [[7.350, 0.000, 0.000], [0.000, 7.350, 0.000], [0.000, 0.000, 7.350]],
  "species": ["Ca", "Ca", "Ca", "Ca", "Ag", "Ag", "Ag", "Ag", "Ge", "Ge", "Ge", "Ge", "Pb", "Pb", "Pb", "Pb"],
  "frac_coords": [[0.000, 0.000, 0.000], [0.000, 0.500, 0.500], [0.500, 0.000, 0.500], [0.500, 0.500, 0.000], [0.250, 0.250, 0.250], [0.250, 0.750, 0.750], [0.750, 0.250, 0.750], [0.750, 0.750, 0.250], [0.250, 0.250, 0.750], [0.250, 0.750, 0.250], [0.750, 0.250, 0.250], [0.750, 0.750, 0.750], [0.000, 0.000, 0.500], [0.000, 0.500, 0.000], [0.500, 0.000, 0.000], [0.500, 0.500, 0.500]]
}

---

Record 17
{
  "formula": "KHgIBr",
  "functional": "GGA-PBE",
  "state": "relaxed",
  "dos_at_fermi_per_ev_fu": 4.27,
  "raw_formation_energy_kj_per_mol_atoms": -68.40,
  "final_energy_ha_per_atom": -0.069,
  "magnetic_moment_mub_per_atom": 0.00,
  "cell": [[8.147, 0.000, 0.000], [0.000, 8.147, 0.000], [0.000, 0.000, 8.147]],
  "species": ["K", "K", "K", "K", "Hg", "Hg", "Hg", "Hg", "I", "I", "I", "I", "Br", "Br", "Br", "Br"],
  "frac_coords": [[0.000, 0.000, 0.000], [0.000, 0.500, 0.500], [0.500, 0.000, 0.500], [0.500, 0.500, 0.000], [0.000, 0.000, 0.500], [0.000, 0.500, 0.000], [0.500, 0.000, 0.000], [0.500, 0.500, 0.500], [0.250, 0.250, 0.250], [0.250, 0.750, 0.750], [0.750, 0.250, 0.750], [0.750, 0.750, 0.250], [0.250, 0.250, 0.750], [0.250, 0.750, 0.250], [0.750, 0.250, 0.250], [0.750, 0.750, 0.750]]
}

---

Record 18
{
  "formula": "DyY2Er4Tm2",
  "functional": "GGA-PBE",
  "state": "relaxed",
  "dos_at_fermi_per_ev_fu": 13.38,
  "e_form_ev_per_atom": 0.021,
  "final_energy_ha_per_atom": -0.182,
  "magnetic_moment_mub_per_atom": 0.00,
  "cell": [[8.450, -1.768, 0.000], [8.450, 1.768, 0.000], [-1.832, 0.000, 9.375]],
  "species": ["Dy", "Y", "Y", "Er", "Er", "Er", "Er", "Tm", "Tm"],
  "frac_coords": [[0.000, 0.000, 0.000], [0.154, 0.154, 0.589], [0.846, 0.846, 0.411], [0.176, 0.176, 0.238], [0.484, 0.484, 0.675], [0.516, 0.516, 0.325], [0.824, 0.824, 0.762], [0.336, 0.336, 0.078], [0.664, 0.664, 0.922]]
}